1.
! SrMoW, optimized geometry, DFT PBE; values from VASP
! DOS at the Fermi energy ... 3.99 states/eV per cell
! Size of the total moment ... 0.0 μB/f.u.
! Crystal system ... tetragonal
&SYSTEM
  ibrav = 0, nat = 3, ntyp = 3
/
ATOMIC_SPECIES
W 183.84 W.upf
Mo 95.94 Mo.upf
Sr 87.62 Sr.upf
CELL_PARAMETERS angstrom
-5.744 -3.219 -0.415
-2.110 -6.247 -0.222
3.774 4.701 2.681
ATOMIC_POSITIONS crystal
W 0.628 0.628 0.000
Mo 0.039 0.039 0.000
Sr 0.333 0.333 0.000


2.
! SrMoW, optimized geometry, DFT PBE; values from VASP
! DOS at the Fermi energy ... 2.79 states/eV per cell
! Size of the total moment ... 0.0 μB/f.u.
! Crystal system ... trigonal
&SYSTEM
  ibrav = 0, nat = 3, ntyp = 3
/
ATOMIC_SPECIES
Sr 87.62 Sr.upf
Mo 95.94 Mo.upf
W 183.84 W.upf
CELL_PARAMETERS angstrom
3.293 0.000 0.000
-1.647 2.852 0.000
0.000 0.000 7.343
ATOMIC_POSITIONS crystal
Sr 0.667 0.333 0.333
Mo 0.000 0.000 0.945
W 0.333 0.667 0.722


Most stable of them? 1.


1.
! BePbBr2, optimized geometry, DFT PBE; values from VASP
! Size of the total moment ... 0.0 μB/f.u.
! Crystal system ... orthorhombic
&SYSTEM
  ibrav = 0, nat = 4, ntyp = 3
/
ATOMIC_SPECIES
Be 9.01 Be.upf
Pb 207.20 Pb.upf
Br 79.90 Br.upf
CELL_PARAMETERS angstrom
-1.950 6.857 -2.765
-6.917 2.597 -1.969
5.166 -2.766 4.913
ATOMIC_POSITIONS crystal
Be 0.211 0.711 0.500
Pb 0.375 0.375 0.000
Br 0.804 0.304 0.500
Br 0.110 0.110 0.000


2.
! BePbBr2, optimized geometry, DFT PBE; values from VASP
! DOS at the Fermi energy ... 1.30 states/eV per cell
! Size of the total moment ... 0.0 μB/f.u.
! Crystal system ... tetragonal
&SYSTEM
  ibrav = 0, nat = 4, ntyp = 3
/
ATOMIC_SPECIES
Br 79.90 Br.upf
Pb 207.20 Pb.upf
Be 9.01 Be.upf
CELL_PARAMETERS angstrom
3.955 0.000 0.000
0.000 3.955 0.000
0.000 0.000 7.001
ATOMIC_POSITIONS crystal
Br 0.000 0.000 0.495
Br 0.000 0.000 0.005
Pb 0.500 0.500 0.250
Be 0.500 0.500 0.750


Most stable of them? 1.